Entry 1:
DFT (GGA-PBE) results for crystalline KCdPd3 at its relaxed geometry.

a b c (Å): 4.9906 4.9906 4.9906
angles (deg): 90.00 90.00 90.00
Fractional positions:
1 K 0.0000 0.0000 0.0000
2 Cd 0.5000 0.5000 0.5000
3 Pd 0.0000 0.0000 0.5000
4 Pd 0.0000 0.5000 0.0000
5 Pd 0.5000 0.0000 0.0000

Results
Energy relative to the lowest polymorph listed for this composition, meV per atom: 742.6
Total magnetic moment, μB per formula unit: 0.00
Formation enthalpy at 0 K, eV per formula unit: 5.71
Total energy, eV per cell: -11.9



Entry 2:
DFT (GGA-PBE) results for crystalline Al5Pt3 at its relaxed geometry.

a b c (Å): 7.4738 7.4738 5.2430
angles (deg): 90.00 90.00 120.00
Fractional positions:
1 Al 0.0000 0.2634 0.2500
2 Al 0.0000 0.7366 0.7500
3 Al 0.2634 0.0000 0.2500
4 Al 0.2634 0.2634 0.7500
5 Al 0.3333 0.6667 0.0000
6 Al 0.3333 0.6667 0.5000
7 Al 0.6667 0.3333 0.0000
8 Al 0.6667 0.3333 0.5000
9 Al 0.7366 0.0000 0.7500
10 Al 0.7366 0.7366 0.2500
11 Pt 0.0000 0.3817 0.7500
12 Pt 0.0000 0.6183 0.2500
13 Pt 0.3817 0.0000 0.7500
14 Pt 0.3817 0.3817 0.2500
15 Pt 0.6183 0.0000 0.2500
16 Pt 0.6183 0.6183 0.7500

Results
Energy relative to the lowest polymorph listed for this composition, meV per atom: 0.0
Total magnetic moment, μB per formula unit: 0.00
Formation enthalpy at 0 K, eV per formula unit: -6.68
Total energy, eV per cell: -87.0



Entry 3:
DFT (GGA-PBE) results for crystalline BaSr4Pd2 at its relaxed geometry.

a b c (Å): 10.7292 10.7292 10.7292
angles (deg): 132.34 63.77 140.22
Fractional positions:
1 Ba 0.1065 0.2500 0.3565
2 Ba 0.8935 0.7500 0.6435
3 Sr 0.1270 0.7629 0.8641
4 Sr 0.2769 0.4671 0.8172
5 Sr 0.2769 0.9597 0.3099
6 Sr 0.4953 0.7500 0.2453
7 Sr 0.5047 0.2500 0.7547
8 Sr 0.6498 0.4597 0.1828
9 Sr 0.6498 0.9671 0.6901
10 Sr 0.8988 0.2629 0.1359
11 Pd 0.2114 0.2114 0.0000
12 Pd 0.2114 0.7114 0.5000
13 Pd 0.4879 0.9770 0.0110
14 Pd 0.9660 0.4770 0.9890

Results
Total magnetic moment, μB per formula unit: 0.00
Formation enthalpy at 0 K, eV per formula unit: -2.50
Total energy, eV per cell: -43.1



Entry 4:
DFT (GGA-PBE) results for crystalline Li3Pm2Au3 at its relaxed geometry.

a b c (Å): 7.8636 7.8636 7.3177
angles (deg): 90.00 90.00 120.00
Fractional positions:
1 Li 0.0000 0.2398 0.2500
2 Li 0.0000 0.7602 0.7500
3 Li 0.2398 0.0000 0.2500
4 Li 0.2398 0.2398 0.7500
5 Li 0.7602 0.0000 0.7500
6 Li 0.7602 0.7602 0.2500
7 Pm 0.3333 0.6667 0.0000
8 Pm 0.3333 0.6667 0.5000
9 Pm 0.6667 0.3333 0.0000
10 Pm 0.6667 0.3333 0.5000
11 Au 0.0000 0.3919 0.7500
12 Au 0.0000 0.6081 0.2500
13 Au 0.3919 0.0000 0.7500
14 Au 0.3919 0.3919 0.2500
15 Au 0.6081 0.0000 0.2500
16 Au 0.6081 0.6081 0.7500

Results
Total magnetic moment, μB per formula unit: 0.00
Formation enthalpy at 0 K, eV per formula unit: -4.07
Total energy, eV per cell: -58.3



Entry 5:
DFT (GGA-PBE) results for crystalline Ba6GeS2Cl3 at its relaxed geometry.

a b c (Å): 8.0351 8.0351 8.0625
angles (deg): 99.54 99.54 120.02
Fractional positions:
1 Ba 0.0894 0.4240 0.7713
2 Ba 0.2422 0.2422 0.2303
3 Ba 0.4240 0.0894 0.7713
4 Ba 0.5760 0.9106 0.2287
5 Ba 0.7578 0.7578 0.7697
6 Ba 0.9106 0.5760 0.2287
7 Ge 0.5000 0.5000 0.0000
8 S 0.1664 0.8336 0.0000
9 S 0.8336 0.1664 0.0000
10 Cl 0.0000 0.0000 0.5000
11 Cl 0.3338 0.6662 0.5000
12 Cl 0.6662 0.3338 0.5000

Results
Raw formation energy, meV per atom: -1769
Total magnetic moment, μB per formula unit: 0.00
Total energy, eV per cell: -51.2



Entry 6:
DFT (GGA-PBE) results for crystalline Y2ScAg at its relaxed geometry.

a b c (Å): 5.5922 5.5922 5.5922
angles (deg): 128.82 128.82 75.29
Fractional positions:
1 Y 0.2500 0.7500 0.5000
2 Y 0.7500 0.2500 0.5000
3 Sc 0.0000 0.0000 0.0000
4 Ag 0.5000 0.5000 0.0000

Results
Energy relative to the lowest polymorph listed for this composition, meV per atom: 146.4
Total magnetic moment, μB per formula unit: 0.00
Formation enthalpy at 0 K, eV per formula unit: 0.11
Total energy, eV per cell: -22.0